Record 1
4
Lattice="0.000 3.447 3.447 3.447 0.000 3.447 3.447 3.447 0.000" Properties=species:S:1:pos:R:3 comment="PBE CeScCuPd, optimized geometry" energy_ry_per_atom=-0.4252 rho_g_cm3=7.2 delta_e_f_ev_per_atom=-0.3972 dos_ef_per_ev_atom=1.793 pbc="T T T"
Ce 0.000 0.000 0.000
Sc 3.447 3.447 3.447
Cu 5.171 5.171 5.171
Pd 1.724 1.724 1.724

---

Record 2
12
Lattice="5.701 0.000 0.000 -2.850 4.937 0.000 0.000 0.000 8.128" Properties=species:S:1:pos:R:3 comment="PBE Ce3CuSi6Pd2, optimized geometry" energy_ry_per_atom=-0.4281 rho_g_cm3=6.3 e_form_raw_kj_per_mol_fu=-489 dos_ef_per_ev_atom=1.060 pbc="T T T"
Ce 0.000 0.000 0.000
Ce 0.000 3.291 5.047
Ce 2.850 1.646 3.081
Cu 0.000 0.000 4.064
Si 0.000 1.848 2.358
Si -1.250 4.013 2.358
Si 1.600 0.924 5.770
Si 1.250 4.013 2.358
Si 4.101 0.924 5.770
Si 2.850 3.089 5.770
Pd 0.000 3.291 0.319
Pd 2.850 1.646 7.808

---

Record 3
5
Lattice="-2.056 2.056 5.040 2.056 -2.056 5.040 2.056 2.056 -5.040" Properties=species:S:1:pos:R:3 comment="PBE CeCuSi2Pd, optimized geometry" energy_ry_per_atom=-0.4382 rho_g_cm3=7.1 e_form_raw_kj_per_mol_fu=-361 dos_ef_per_ev_atom=0.849 pbc="T T T"
Ce 0.000 0.000 0.000
Cu 2.056 0.000 2.520
Si 0.000 0.000 3.860
Si 0.000 0.000 6.219
Pd 0.000 2.056 2.520

---

Record 4
4
Lattice="0.000 3.570 3.570 3.570 0.000 3.570 3.570 3.570 0.000" Properties=species:S:1:pos:R:3 comment="PBE CeSmCuPd, optimized geometry" energy_ry_per_atom=-0.3946 rho_g_cm3=8.4 delta_e_f_ev_per_atom=-0.3837 dos_ef_per_ev_atom=2.010 pbc="T T T"
Ce 0.000 0.000 0.000
Sm 3.570 3.570 3.570
Cu 5.355 5.355 5.355
Pd 1.785 1.785 1.785

---

Record 5
4
Lattice="0.000 3.543 3.543 3.543 0.000 3.543 3.543 3.543 0.000" Properties=species:S:1:pos:R:3 comment="PBE TbCeCuPd, optimized geometry" energy_ry_per_atom=-0.3957 rho_g_cm3=8.8 delta_e_f_ev_per_atom=-0.4198 dos_ef_per_ev_atom=1.788 pbc="T T T"
Tb 0.000 0.000 0.000
Ce 3.543 3.543 3.543
Cu 1.771 1.771 1.771
Pd 5.314 5.314 5.314

---

Record 6
4
Lattice="0.000 3.514 3.514 3.514 0.000 3.514 3.514 3.514 0.000" Properties=species:S:1:pos:R:3 comment="PBE CeTmCuPd, optimized geometry" energy_ry_per_atom=-0.3952 rho_g_cm3=9.2 delta_e_f_ev_per_atom=-0.4528 dos_ef_per_ev_atom=1.641 pbc="T T T"
Ce 0.000 0.000 0.000
Tm 3.514 3.514 3.514
Cu 5.271 5.271 5.271
Pd 1.757 1.757 1.757

---

Record 7
4
Lattice="0.000 3.342 3.342 3.342 0.000 3.342 3.342 3.342 0.000" Properties=species:S:1:pos:R:3 comment="PBE CeZnCuPd, optimized geometry" energy_ry_per_atom=-0.3274 polymorph_energy_mev_per_atom=77 rho_g_cm3=8.4 delta_e_f_ev_per_atom=-0.3309 dos_ef_per_ev_atom=1.301 pbc="T T T"
Ce 0.000 0.000 0.000
Zn 3.342 3.342 3.342
Cu 1.671 1.671 1.671
Pd 5.012 5.012 5.012

---

Record 8
18
Lattice="3.082 1.779 9.076 -3.082 1.779 9.076 0.000 -3.558 9.076" Properties=species:S:1:pos:R:3 comment="PBE Ce2Zn3Cu12Pd, optimized geometry" energy_ry_per_atom=-0.2765 rho_g_cm3=7.5 delta_e_f_ev_per_atom=0.1296 dos_ef_per_ev_atom=1.110 pbc="T T T"
Ce 0.000 0.000 4.114
Ce 0.000 0.000 23.114
Zn -1.541 -0.890 9.076
Zn -1.541 0.890 18.152
Zn 0.000 1.779 9.076
Cu 0.000 -2.178 7.745
Cu -1.887 1.089 7.745
Cu -1.327 -0.766 11.631
Cu -1.887 -1.089 19.483
Cu 0.000 -1.532 15.597
Cu -1.327 0.766 15.597
Cu 1.327 -0.766 11.631
Cu 0.000 1.532 11.631
Cu 1.887 1.089 7.745
Cu 1.327 0.766 15.597
Cu 1.887 -1.089 19.484
Cu 0.000 2.178 19.484
Pd 0.000 0.000 13.614

---

Record 9
4
Lattice="2.191 1.265 4.633 -2.191 1.265 4.633 0.000 -2.530 4.633" Properties=species:S:1:pos:R:3 comment="PBE CeZnCuPd, optimized geometry" energy_ry_per_atom=-0.3331 polymorph_energy_mev_per_atom=0 rho_g_cm3=8.1 delta_e_f_ev_per_atom=-0.4075 dos_ef_per_ev_atom=1.749 pbc="T T T"
Ce 0.000 0.000 0.000
Zn 0.000 0.000 6.881
Cu 0.000 0.000 10.984
Pd 0.000 0.000 2.975

---

Record 10
20
Lattice="9.797 0.000 0.000 0.000 9.797 0.000 0.000 0.000 3.748" Properties=species:S:1:pos:R:3 comment="PBE Ce2Zn2CuPd5, optimized geometry" energy_ry_per_atom=-0.3622 rho_g_cm3=9.3 delta_e_f_ev_per_atom=-0.4810 dos_ef_per_ev_atom=1.341 pbc="T T T"
Ce 1.750 3.149 0.000
Ce 3.149 8.047 0.000
Ce 6.649 1.750 0.000
Ce 8.047 6.649 0.000
Zn 1.181 6.080 0.000
Zn 3.718 1.181 0.000
Zn 6.080 8.616 0.000
Zn 8.616 3.718 0.000
Cu 0.000 0.000 0.000
Cu 4.899 4.899 0.000
Pd 0.000 4.899 1.874
Pd 0.609 7.846 1.874
Pd 1.952 0.609 1.874
Pd 2.947 5.508 1.874
Pd 4.290 2.947 1.874
Pd 4.899 0.000 1.874
Pd 5.508 6.850 1.874
Pd 6.850 4.290 1.874
Pd 7.846 9.189 1.874
Pd 9.189 1.952 1.874

---

Record 11
4
Lattice="1.700 0.981 11.127 -1.700 0.981 11.127 0.000 -1.963 11.127" Properties=species:S:1:pos:R:3 comment="PBE CePm2Cu, optimized geometry" energy_ry_per_atom=-0.3400 polymorph_energy_mev_per_atom=274 rho_g_cm3=7.4 delta_e_f_ev_per_atom=0.2566 dos_ef_per_ev_atom=1.721 pbc="T T T"
Ce 0.000 0.000 0.000
Pm 0.000 0.000 3.352
Pm 0.000 0.000 30.030
Cu 0.000 0.000 16.691

---

Record 12
9
Lattice="7.429 0.000 0.000 -3.714 6.434 0.000 0.000 0.000 3.667" Properties=species:S:1:pos:R:3 comment="PBE CePm2Cu6, optimized geometry" energy_ry_per_atom=-0.3411 rho_g_cm3=7.7 delta_e_f_ev_per_atom=-0.1945 dos_ef_per_ev_atom=1.045 pbc="T T T"
Ce 0.000 0.000 0.000
Pm 0.000 4.289 0.000
Pm 3.714 2.145 0.000
Cu -1.236 2.140 1.833
Cu -2.479 4.293 1.833
Cu 2.472 0.000 1.833
Cu 1.236 2.140 1.833
Cu 4.957 0.000 1.833
Cu 2.479 4.293 1.833